This record from the Alexandria database describes a relaxed structure of MnVTcOs. The functional is PBE.

ΔE_f, eV per atom: -0.131

Cell lengths 6.0241, 6.0241, 6.0241 Å; angles 90.00, 90.00, 90.00 degrees
With the nearest neighbours (Å) after each atom.
Space group F-43m (No. 216)
Symmetry-distinct sites (fractional):
1 Mn 0.0000 0.0000 0.0000 (multiplicity 4)  4 Tc 2.61, 4 Os 2.61
2 V 0.0000 0.0000 0.5000 (multiplicity 4)  4 Os 2.61, 4 Tc 2.61
3 Tc 0.2500 0.2500 0.2500 (multiplicity 4)  4 Mn 2.61, 4 V 2.61
4 Os 0.2500 0.2500 0.7500 (multiplicity 4)  4 Mn 2.61, 4 V 2.61